[1]
Entry from OQMD via LeMat-Bulk: a relaxed structure of Y2HfIr (PBE).

Output
**DFT formation energy**: -0.4 eV/f.u.
**Crystal system**: cubic
**SG**: F-43m

a = 4.9778 Å, b = 4.9778 Å, c = 4.9778 Å
α = 60.00°, β = 60.00°, γ = 60.00°
Atoms (fractional coordinates):
Hf1 0.7500 0.7500 0.7500
Ir1 0.5000 0.5000 0.5000
Y1 0.0000 0.0000 0.0000
Y2 0.2500 0.2500 0.2500

[2]
Entry from OQMD via LeMat-Bulk: a relaxed structure of PrReBi (PBE).

Output
**Crystal system**: cubic
**SG**: F-43m

a = 4.9234 Å, b = 4.9234 Å, c = 4.9234 Å
α = 60.00°, β = 60.00°, γ = 60.00°
Atoms (fractional coordinates):
Bi1 0.0000 0.0000 0.0000
Pr1 0.2500 0.2500 0.2500
Re1 0.7500 0.7500 0.7500

[3]
Entry from OQMD via LeMat-Bulk: a relaxed structure of Dy2ErZn3CuAu2 (PBE).

Output
**DFT formation energy**: -5.3 eV/f.u.
**Crystal system**: orthorhombic
**SG**: Amm2

a = 3.9222 Å, b = 7.2847 Å, c = 7.2847 Å
α = 119.97°, β = 90.00°, γ = 90.00°
Atoms (fractional coordinates):
Au1 0.5000 0.6663 0.3335
Au2 0.5000 0.3335 0.6663
Cu1 0.0000 0.0001 0.0001
Dy1 0.0000 0.5973 0.0000
Dy2 0.0000 0.0000 0.5973
Er1 0.0000 0.4027 0.4027
Zn1 0.5000 0.2344 0.0001
Zn2 0.5000 0.0001 0.2344
Zn3 0.5000 0.7656 0.7656

Number 1: uncorrected energy -0.2950 Ha/atom. Number 2: uncorrected energy -0.2288 Ha/atom. Number 3: uncorrected energy -0.1352 Ha/atom.